Density functional theory data (PBE-GGA) for La3B6Ru8 after structural relaxation.

Results
energy of formation from the pure elements	-7.55	eV per formula unit
final energy	-0.591	Ry/atom

abc: 10.0805 9.2344 5.6575
angles: 81.38 64.92 33.70
Atoms (fractional coordinates):
La 0.0000 0.0000 0.0000
La 0.8185 0.8185 0.1815
La 0.1815 0.1815 0.8185
B 0.6700 0.3300 0.6700
B 0.3300 0.6700 0.3300
B 0.1650 0.4929 0.5071
B 0.4929 0.1650 0.8350
B 0.8350 0.5071 0.4929
B 0.5071 0.8350 0.1650
Ru 0.9141 0.9141 0.5859
Ru 0.4134 0.4134 0.5866
Ru 0.5866 0.5866 0.4134
Ru 0.2500 0.2500 0.2500
Ru 0.7500 0.7500 0.7500
Ru 0.0859 0.0859 0.4141
Ru 0.5859 0.5859 0.9141
Ru 0.4141 0.4141 0.0859

---

Density functional theory data (PBE-GGA) for La4Pm3ThS8 after structural relaxation.

Results
formation energy without anion corrections	-2077	meV per atom
final energy	-0.494	Ry/atom

abc: 8.1854 8.1941 8.1852
angles: 119.96 120.00 90.00
Atoms (fractional coordinates):
La 0.5000 0.0000 0.0000
La 0.5000 0.0000 0.5000
La 0.0000 0.0000 0.0000
La 0.0000 0.0000 0.5000
Pm 0.5000 0.5000 0.0000
Pm 0.5000 0.5000 0.5000
Pm 0.0000 0.5000 0.5000
Th 0.0000 0.5000 0.0000
S 0.2471 0.7412 0.9941
S 0.2471 0.7412 0.4942
S 0.2528 0.2583 0.5056
S 0.7470 0.7412 0.9941
S 0.2530 0.2588 0.0059
S 0.7472 0.7417 0.4944
S 0.7529 0.2588 0.5058
S 0.7529 0.2588 0.0059

---

Density functional theory data (PBE-GGA) for Pm2ThPa after structural relaxation.

Results
relative energy among the computed polymorphs	0.038	eV/atom
energy of formation from the pure elements	0.98	eV per formula unit
final energy	-0.467	Ry/atom

abc: 5.2413 4.8475 4.8475
angles: 90.00 90.00 90.00
Atoms (fractional coordinates):
Pa 0.5000 0.5000 0.5000
Th 0.5000 0.0000 0.0000
Pm 0.0000 0.0000 0.5000
Pm 0.0000 0.5000 0.0000

---

Density functional theory data (PBE-GGA) for Gd2PaV after structural relaxation.

Results
energy of formation from the pure elements	2.41	eV per formula unit
final energy	-0.815	Ry/atom

abc: 3.2871 3.2871 11.2712
angles: 81.62 81.62 60.00
Each line ends with the local moment (μB).
Atoms (fractional coordinates):
Gd 0.0828 0.0828 0.7515  7.07
Gd 0.9172 0.9172 0.2485  7.07
Pa 0.5000 0.5000 0.5000  -0.08
V 0.0000 0.0000 0.0000  -2.49